The following is a SCAN calculation of YMnTe2 at its PBEsol-relaxed geometry, from Alexandria.

```
4
Lattice="-0.664 -3.551 -0.850 2.111 0.680 -4.493 4.455 -1.287 1.899" Properties=species:S:1:pos:R:3 pbc="T T T"
Mn -0.332 -1.775 -0.425
Te 2.228 -0.644 0.949
Te 1.056 0.340 -2.247
Y 2.951 -2.079 -1.722
```



The following is a SCAN calculation of TlReSb2 at its PBEsol-relaxed geometry, from Alexandria.

```
4
Lattice="-1.421 -2.135 -1.818 2.174 -1.052 2.013 -7.439 -1.307 7.351" Properties=species:S:1:pos:R:3 pbc="T T T"
Re 0.376 -1.594 0.098
Sb -1.511 -0.265 1.493
Sb -5.928 -1.041 5.858
Tl -3.343 -2.247 3.773
```



5
Lattice="5.009 0.000 0.000 0.000 5.009 0.000 0.000 0.000 5.009" Properties=species:S:1:pos:R:3 comment="NaZnCd3 SCAN single point on PBEsol structure" e_form_mev_per_atom=96 pbc="T T T"
Na 2.505 2.505 2.505
Zn 0.000 0.000 0.000
Cd 0.000 2.505 0.000
Cd 0.000 0.000 2.505
Cd 2.505 0.000 0.000



The following is a SCAN calculation of FeSiMo at its PBEsol-relaxed geometry, from Alexandria.

```
3
Lattice="2.701 0.000 0.000 -1.351 2.339 0.000 0.000 0.000 6.030" Properties=species:S:1:pos:R:3 pbc="T T T"
Fe 0.000 0.000 0.078
Mo 1.351 0.780 4.067
Si 0.000 1.560 1.885
```



4
Lattice="-0.779 2.956 -3.422 -4.231 0.460 -1.716 -2.389 3.839 0.784" Properties=species:S:1:pos:R:3 comment="YScBe2 SCAN single point on PBEsol structure" e_form_mev_per_atom=496 pbc="T T T"
Y -1.850 1.814 -1.089
Sc -3.700 3.628 -2.177
Be 0.000 0.000 0.000
Be -5.550 5.441 -3.266



4
Lattice="4.876 0.000 0.000 2.438 4.223 0.000 2.438 1.408 3.981" Properties=species:S:1:pos:R:3 comment="CdGa2Hg SCAN single point on PBEsol structure" e_form_mev_per_atom=197 pbc="T T T"
Hg 4.876 2.815 1.991
Ga 2.438 1.408 0.995
Ga 7.314 4.223 2.986
Cd 0.000 0.000 0.000



4
Lattice="4.203 0.000 0.000 0.000 4.357 0.000 0.000 0.000 4.357" Properties=species:S:1:pos:R:3 comment="ZrIn2Au SCAN single point on PBEsol structure" e_form_mev_per_atom=-498 pbc="T T T"
Au 2.102 0.000 0.000
Zr 2.102 2.179 2.179
In 0.000 0.000 2.179
In 0.000 2.179 0.000



4
Lattice="2.749 0.000 0.000 0.000 2.749 0.000 0.000 0.000 7.749" Properties=species:S:1:pos:R:3 comment="CdRh3 SCAN single point on PBEsol structure" e_form_mev_per_atom=-5 pbc="T T T"
Rh 0.000 0.000 3.874
Rh 1.374 1.374 2.097
Rh 1.374 1.374 5.652
Cd 0.000 0.000 0.000



4
Lattice="-1.478 -1.730 1.573 1.223 -1.381 2.062 -1.830 5.182 6.412" Properties=species:S:1:pos:R:3 comment="CdCo2P SCAN single point on PBEsol structure" e_form_mev_per_atom=250 pbc="T T T"
Cd -0.498 0.435 2.442
Co -1.771 4.969 6.233
Co -1.547 1.493 7.484
P -1.143 1.392 5.321



6
Lattice="2.438 0.000 0.000 0.000 2.438 0.000 0.000 0.000 10.521" Properties=species:S:1:pos:R:3 comment="CrNi5 SCAN single point on PBEsol structure" e_form_mev_per_atom=36 pbc="T T T"
Cr 1.219 1.219 0.000
Ni 0.000 0.000 8.761
Ni 0.000 0.000 1.760
Ni 1.219 1.219 6.986
Ni 1.219 1.219 3.535
Ni 0.000 0.000 5.261



The following is a SCAN calculation of TaIn2Te at its PBEsol-relaxed geometry, from Alexandria.

```
4
Lattice="3.141 -0.002 0.000 -1.127 2.932 0.000 0.000 0.000 10.385" Properties=species:S:1:pos:R:3 pbc="T T T"
In 0.000 0.000 10.136
In 1.007 1.465 7.516
Ta 0.000 0.000 5.201
Te 1.007 1.465 3.109
```



3
Lattice="4.563 0.000 0.000 2.282 3.952 0.000 2.282 1.317 3.726" Properties=species:S:1:pos:R:3 comment="SrTaRe SCAN single point on PBEsol structure" e_form_mev_per_atom=1408 pbc="T T T"
Re 0.000 0.000 0.000
Sr 4.563 2.635 1.863
Ta 2.282 1.317 0.932



| no. | electronic total energy (eV for the cell shown) |
| --- | --- |
| 1 | -123.51 |
| 2 | -215.66 |
| 3 | -108.49 |
| 4 | -62.73 |
| 5 | -48.80 |
| 6 | -130.48 |
| 7 | -168.62 |
| 8 | -131.75 |
| 9 | -74.42 |
| 10 | -99.04 |
| 11 | -169.85 |
| 12 | -155.73 |